Here is a geometry-optimized SrLiZn3Ag structure from Alexandria via LeMat-Bulk. Energies are from PBE-GGA.

abc: 7.239 7.239 6.045
angles: 90.00 90.00 130.05
Element x y z (fractional)
Sr1 0.209 0.791 0.750
Sr2 0.791 0.209 0.250
Li1 0.426 0.574 0.750
Li2 0.574 0.426 0.250
Zn1 0.213 0.213 0.000
Zn2 0.213 0.213 0.500
Zn3 0.371 0.629 0.250
Zn4 0.629 0.371 0.750
Zn5 0.787 0.787 0.000
Zn6 0.787 0.787 0.500
Ag1 0.150 0.850 0.250
Ag2 0.850 0.150 0.750

total moment: 0.00 μB per cell
E_form: -0.11 eV/atom
electronic total energy: -10.91 eV/f.u.



Here is a geometry-optimized Pm2Pr6YTh structure from Alexandria via LeMat-Bulk. Energies are from PBE-GGA.

abc: 8.953 8.953 10.062
angles: 95.05 95.05 117.28
Element x y z (fractional)
Pm1 0.195 0.285 0.046
Pm2 0.285 0.195 0.546
Pm3 0.715 0.805 0.454
Pm4 0.805 0.715 0.954
Pr1 0.013 0.577 0.187
Pr2 0.110 0.750 0.555
Pr3 0.250 0.890 0.945
Pr4 0.299 0.505 0.379
Pr5 0.423 0.987 0.313
Pr6 0.495 0.701 0.121
Pr7 0.505 0.299 0.879
Pr8 0.577 0.013 0.687
Pr9 0.701 0.495 0.621
Pr10 0.750 0.110 0.055
Pr11 0.890 0.250 0.445
Pr12 0.987 0.423 0.813
Y1 0.407 0.593 0.750
Y2 0.593 0.407 0.250
Th1 0.021 0.979 0.250
Th2 0.979 0.021 0.750

total moment: 0.00 μB per cell
E_form: 0.14 eV/atom
electronic total energy: -50.68 eV/f.u.



Here is a geometry-optimized DyAlZn4Ag2 structure from Alexandria via LeMat-Bulk. Energies are from PBE-GGA.

abc: 9.039 9.039 9.039
angles: 28.19 28.19 28.19
Element x y z (fractional)
Dy1 0.000 0.000 0.000
Al1 0.500 0.500 0.500
Zn1 0.125 0.125 0.125
Zn2 0.394 0.394 0.394
Zn3 0.606 0.606 0.606
Zn4 0.875 0.875 0.875
Ag1 0.245 0.245 0.245
Ag2 0.755 0.755 0.755

total moment: 0.00 μB per cell
E_form: -0.11 eV/atom
electronic total energy: -20.00 eV/f.u.



Here is a geometry-optimized BiAsRuF2 structure from Alexandria via LeMat-Bulk. Energies are from PBE-GGA.

abc: 4.284 4.284 5.641
angles: 90.00 90.00 90.00
Element x y z (fractional)
Bi1 0.000 0.000 0.000
As1 0.500 0.500 0.500
Ru1 0.000 0.000 0.500
F1 0.000 0.500 0.000
F2 0.500 0.000 0.000

E_form (uncorrected): -0.43 eV/atom
total moment: 0.84 μB per cell
electronic total energy: -23.68 eV/f.u.



Here is a geometry-optimized AlNiPt2 structure from Alexandria via LeMat-Bulk. Energies are from PBE-GGA.

abc: 2.717 4.543 10.170
angles: 90.00 90.00 90.00
Element x y z (fractional)
Al1 0.000 0.000 0.000
Al2 0.500 0.500 0.500
Ni1 0.000 0.000 0.500
Ni2 0.500 0.500 0.000
Pt1 0.000 0.000 0.242
Pt2 0.000 0.000 0.758
Pt3 0.500 0.500 0.258
Pt4 0.500 0.500 0.742

total moment: 0.00 μB per cell
E_form: -0.08 eV/atom
electronic total energy: -21.95 eV/f.u.



Here is a geometry-optimized Tm6TcBi structure from Alexandria via LeMat-Bulk. Energies are from PBE-GGA.

abc: 6.711 6.722 7.664
angles: 90.12 115.88 119.93
Element x y z (fractional)
Tm1 0.046 0.082 0.270
Tm2 0.307 0.724 0.270
Tm3 0.311 0.536 0.730
Tm4 0.689 0.464 0.270
Tm5 0.693 0.276 0.730
Tm6 0.954 0.918 0.730
Tc1 0.500 0.500 0.500
Bi1 0.500 0.000 0.000

total moment: 0.00 μB per cell
E_form: 0.00 eV/atom
electronic total energy: -41.04 eV/f.u.



Here is a geometry-optimized KY2Os structure from Alexandria via LeMat-Bulk. Energies are from PBE-GGA.

abc: 3.453 3.453 10.690
angles: 90.00 90.00 90.00
Element x y z (fractional)
K1 0.000 0.000 0.000
Y1 0.500 0.500 0.347
Y2 0.500 0.500 0.653
Os1 0.000 0.000 0.500

total moment: 0.00 μB per cell
E_form: -0.01 eV/atom
energy above the most stable polymorph in this dataset: 0.00 eV per formula unit
electronic total energy: -25.32 eV/f.u.



Here is a geometry-optimized TmTaGa2O8 structure from Alexandria via LeMat-Bulk. Energies are from PBE-GGA.

abc: 5.795 5.795 5.795
angles: 108.26 108.26 111.93
Element x y z (fractional)
Tm1 0.000 0.000 0.000
Ta1 0.250 0.750 0.500
Ga1 0.500 0.500 0.000
Ga2 0.750 0.250 0.500
O1 0.313 0.108 0.795
O2 0.313 0.518 0.205
O3 0.358 0.035 0.323
O4 0.482 0.687 0.795
O5 0.712 0.035 0.677
O6 0.892 0.687 0.205
O7 0.965 0.288 0.323
O8 0.965 0.642 0.677

E_form (uncorrected): -2.11 eV/atom
total moment: 2.06 μB per cell
electronic total energy: -87.35 eV/f.u.



Here is a geometry-optimized Li2Mn2Tl structure from Alexandria via LeMat-Bulk. Energies are from PBE-GGA.

abc: 7.041 7.041 3.081
angles: 90.00 90.00 90.00
Element x y z (fractional)
Li1 0.193 0.307 0.000
Li2 0.307 0.807 0.000
Li3 0.693 0.193 0.000
Li4 0.807 0.693 0.000
Mn1 0.097 0.597 0.500
Mn2 0.403 0.097 0.500
Mn3 0.597 0.903 0.500
Mn4 0.903 0.403 0.500
Tl1 0.000 0.000 0.500
Tl2 0.500 0.500 0.500

total moment: 5.23 μB per cell
E_form: 0.49 eV/atom
energy above the most stable polymorph in this dataset: 0.00 eV per formula unit
electronic total energy: -22.06 eV/f.u.



Here is a geometry-optimized Ce2ErHg4 structure from Alexandria via LeMat-Bulk. Energies are from PBE-GGA.

abc: 9.342 9.342 9.342
angles: 32.26 32.26 32.26
Element x y z (fractional)
Ce1 0.246 0.246 0.246
Ce2 0.754 0.754 0.754
Er1 0.000 0.000 0.000
Hg1 0.126 0.126 0.126
Hg2 0.371 0.371 0.371
Hg3 0.629 0.629 0.629
Hg4 0.874 0.874 0.874

total moment: 2.26 μB per cell
E_form: -0.23 eV/atom
energy above the most stable polymorph in this dataset: 0.00 eV per formula unit
electronic total energy: -19.23 eV/f.u.



Here is a geometry-optimized Pm2TlP structure from Alexandria via LeMat-Bulk. Energies are from PBE-GGA.

abc: 3.628 3.628 7.802
angles: 90.00 90.00 90.00
Element x y z (fractional)
Pm1 0.000 0.000 0.212
Pm2 0.000 0.000 0.788
Tl1 0.500 0.500 0.500
P1 0.500 0.500 0.000

total moment: 0.00 μB per cell
E_form: -0.73 eV/atom
energy above the most stable polymorph in this dataset: 0.91 eV per formula unit
electronic total energy: -20.20 eV/f.u.



Here is a geometry-optimized NaCd4Pd3 structure from Alexandria via LeMat-Bulk. Energies are from PBE-GGA.

abc: 3.253 4.743 9.619
angles: 90.00 90.00 90.00
Element x y z (fractional)
Na1 0.000 0.000 0.000
Cd1 0.500 0.000 0.267
Cd2 0.500 0.000 0.733
Cd3 0.500 0.500 0.000
Cd4 0.500 0.500 0.500
Pd1 0.000 0.000 0.500
Pd2 0.000 0.500 0.243
Pd3 0.000 0.500 0.757

total moment: 0.00 μB per cell
E_form: -0.28 eV/atom
electronic total energy: -22.81 eV/f.u.